# HfAu3S | Alexandria via LeMat-Bulk | PBEsol | optimized geometry
# VASP energy ... -4.74 eV/atom
# Formation energy (no corrections) ... 0.596 eV per atom
# Calculated volume ... 100 Å³ per cell
data_HfAu3S
_chemical_formula_sum 'Hf1 Au3 S1'
_symmetry_space_group_name_H-M 'P m -3 m'
_symmetry_Int_Tables_number 221
_symmetry_space_group_name_Hall '-P 4 2 3'
_cell_length_a 4.635
_cell_length_b 4.635
_cell_length_c 4.635
_cell_angle_alpha 90.00
_cell_angle_beta 90.00
_cell_angle_gamma 90.00
loop_
_atom_site_label
_atom_site_type_symbol
_atom_site_fract_x
_atom_site_fract_y
_atom_site_fract_z
_atom_site_occupancy
Hf1 Hf 0.000 0.000 0.000 1
Au1 Au 0.000 0.500 0.500 1
S1 S 0.500 0.500 0.500 1